1.
First-principles (PBE) data for a geometry-optimized Tm3Sc structure, as listed in Alexandria.

Structure (CIF):
```
data_Tm3Sc
_chemical_formula_sum 'Tm3 Sc1'
_space_group_name_H-M_alt 'P m m 2'
_space_group_IT_number 25
_cell_length_a 3.506
_cell_length_b 5.429
_cell_length_c 6.059
_cell_angle_alpha 90.00
_cell_angle_beta 90.00
_cell_angle_gamma 90.00
loop_
_space_group_symop_operation_xyz
'x,y,z'
'-x,-y,z'
'-x,y,z'
'x,-y,z'
loop_
_atom_site_label
_atom_site_fract_x
_atom_site_fract_y
_atom_site_fract_z
Tm1 0.000 0.000 0.000
Tm2 0.000 0.500 0.338
Tm3 0.500 0.500 0.832
Sc1 0.500 0.000 0.502
```

Summary:
calculated volume = 28.83 Å³ per atom
energy = -0.3620 Ry/atom
relative energy among the computed polymorphs = 0.001 eV/atom

2.
First-principles (PBE) data for a geometry-optimized PrZnPb2 structure, as listed in Alexandria.

Structure (CIF):
```
data_PrZnPb2
_chemical_formula_sum 'Pr3 Zn3 Pb6'
_space_group_name_H-M_alt 'R -3 m'
_space_group_IT_number 166
_space_group_name_Hall '-R 3 2"'
_cell_length_a 3.5578
_cell_length_b 3.5578
_cell_length_c 32.8219
_cell_angle_alpha 90.00
_cell_angle_beta 90.00
_cell_angle_gamma 120.00
loop_
_atom_site_label
_atom_site_fract_x
_atom_site_fract_y
_atom_site_fract_z
Pr1 0.0000 0.0000 0.0000
Zn1 0.0000 0.0000 0.5000
Pb1 0.0000 0.0000 0.0994
```

Summary:
calculated volume = 29.98 Å³ per atom
energy = -0.2379 Ry/atom
relative energy among the computed polymorphs = 0.456 eV/atom

3.
First-principles (PBE) data for a geometry-optimized TlSiRu2 structure, as listed in Alexandria.

Structure (CIF):
```
data_TlSiRu2
_chemical_formula_sum 'Tl1 Si1 Ru2'
_space_group_name_H-M_alt 'P m m 2'
_space_group_IT_number 25
_cell_length_a 2.875
_cell_length_b 3.736
_cell_length_c 6.356
_cell_angle_alpha 90.00
_cell_angle_beta 90.00
_cell_angle_gamma 90.00
loop_
_space_group_symop_operation_xyz
'x,y,z'
'-x,-y,z'
'-x,y,z'
'x,-y,z'
loop_
_atom_site_label
_atom_site_fract_x
_atom_site_fract_y
_atom_site_fract_z
Tl1 0.000 0.000 0.000
Si1 0.500 0.500 0.621
Ru1 0.000 0.000 0.534
Ru2 0.500 0.500 0.255
```

Summary:
calculated volume = 17.07 Å³ per atom
energy = -0.4671 Ry/atom
relative energy among the computed polymorphs = 0.256 eV/atom